No. 1
Below is a relaxed structure of TmPuPb2, with properties calculated at the PBE level. Values from VASP.

The structure in Quantum ESPRESSO input format:
```
&SYSTEM
  ibrav = 0, nat = 4, ntyp = 3
/
ATOMIC_SPECIES
Tm 168.93 Tm.upf
Pu 244.00 Pu.upf
Pb 207.20 Pb.upf
CELL_PARAMETERS angstrom
-1.735 -1.667 -2.644
1.762 -0.988 -2.950
2.176 -10.078 2.510
ATOMIC_POSITIONS angstrom
Tm 2.191 -11.838 -1.225
Pu 1.105 -6.381 -1.536
Pb 1.648 -7.839 1.444
Pb 0.536 -3.122 -0.801
```

***

No. 2
Below is a relaxed structure of Tm2PuPb3, with properties calculated at the PBE level. Values from VASP.

The structure in Quantum ESPRESSO input format:
```
&SYSTEM
  ibrav = 0, nat = 6, ntyp = 3
/
ATOMIC_SPECIES
Tm 168.93 Tm.upf
Pu 244.00 Pu.upf
Pb 207.20 Pb.upf
CELL_PARAMETERS angstrom
3.499 0.000 0.000
0.000 3.499 0.000
0.000 0.000 13.522
ATOMIC_POSITIONS angstrom
Tm 1.750 1.750 11.289
Tm 1.750 1.750 2.233
Pu 1.750 1.750 6.761
Pb 0.000 0.000 0.000
Pb 0.000 0.000 9.094
Pb 0.000 0.000 4.428
```

***

No. 3
Below is a relaxed structure of Tm2Pu3Pb3, with properties calculated at the PBE level. Values from VASP.

The structure in Quantum ESPRESSO input format:
```
&SYSTEM
  ibrav = 0, nat = 8, ntyp = 3
/
ATOMIC_SPECIES
Tm 168.93 Tm.upf
Pu 244.00 Pu.upf
Pb 207.20 Pb.upf
CELL_PARAMETERS angstrom
4.614 0.000 0.000
0.000 5.097 0.000
0.000 0.000 9.112
ATOMIC_POSITIONS angstrom
Tm 0.000 0.000 2.337
Tm 0.000 0.000 6.776
Pu 2.307 2.548 2.127
Pu 2.307 2.548 6.985
Pu 0.000 2.548 0.000
Pb 0.000 2.548 4.556
Pb 2.307 0.000 0.000
Pb 2.307 0.000 4.556
```

***

No. 4
Below is a relaxed structure of TmPuPb, with properties calculated at the PBE level. Values from VASP.

Output
The energy above the most stable polymorph in this dataset is 213 meV/atom.

The structure in Quantum ESPRESSO input format:
```
&SYSTEM
  ibrav = 0, nat = 3, ntyp = 3
/
ATOMIC_SPECIES
Pb 207.20 Pb.upf
Tm 168.93 Tm.upf
Pu 244.00 Pu.upf
CELL_PARAMETERS angstrom
-2.635 0.185 -2.332
3.477 -0.603 -3.977
-2.264 -4.267 2.221
ATOMIC_POSITIONS angstrom
Pb -0.167 0.012 -0.148
Tm 0.913 -1.779 -2.486
Pu -2.169 -2.918 -1.454
```

***

No. 5
Below is a relaxed structure of TmPuZnPb, with properties calculated at the PBE level. Values from VASP.

The structure in Quantum ESPRESSO input format:
```
&SYSTEM
  ibrav = 0, nat = 4, ntyp = 4
/
ATOMIC_SPECIES
Pb 207.20 Pb.upf
Zn 65.41 Zn.upf
Tm 168.93 Tm.upf
Pu 244.00 Pu.upf
CELL_PARAMETERS angstrom
-3.076 -0.344 -4.239
-3.680 -3.734 -0.277
-5.078 1.290 0.330
ATOMIC_POSITIONS angstrom
Pb -2.958 -0.697 -1.046
Zn -8.875 -2.091 -3.139
Tm 0.000 0.000 0.000
Pu -5.917 -1.394 -2.093
```

***

No. 6
Below is a relaxed structure of PuUPb, with properties calculated at the PBE level. Values from VASP.

The structure in Quantum ESPRESSO input format:
```
&SYSTEM
  ibrav = 0, nat = 6, ntyp = 3
/
ATOMIC_SPECIES
U 238.03 U.upf
Pu 244.00 Pu.upf
Pb 207.20 Pb.upf
CELL_PARAMETERS angstrom
-2.943 -0.234 -2.486
1.859 -4.091 -4.812
-4.250 -4.391 2.449
ATOMIC_POSITIONS angstrom
U 0.802 -4.143 -3.555
U -3.193 -4.339 1.192
Pu -1.681 -4.310 -3.597
Pu -3.653 -4.407 -1.252
Pb -3.999 -6.559 -3.636
Pb -1.335 -2.158 -1.212
```

***

No. 7
Below is a relaxed structure of Pu2UPb, with properties calculated at the PBE level. Values from VASP.

Output
The energy above the most stable polymorph in this dataset is 48 meV/atom.

The structure in Quantum ESPRESSO input format:
```
&SYSTEM
  ibrav = 0, nat = 4, ntyp = 3
/
ATOMIC_SPECIES
Pb 207.20 Pb.upf
U 238.03 U.upf
Pu 244.00 Pu.upf
CELL_PARAMETERS angstrom
-0.795 -3.762 -0.622
0.654 0.491 -3.808
6.337 -1.488 0.897
ATOMIC_POSITIONS angstrom
Pb 3.098 -2.379 -1.767
U -0.070 -1.635 -2.215
Pu 4.812 -1.130 0.681
Pu 1.525 -0.358 0.216
```

***

No. 8
Below is a relaxed structure of Pu2UPb, with properties calculated at the PBE level. Values from VASP.

Output
The energy above the most stable polymorph in this dataset is 135 meV/atom.

The structure in Quantum ESPRESSO input format:
```
&SYSTEM
  ibrav = 0, nat = 4, ntyp = 3
/
ATOMIC_SPECIES
Pb 207.20 Pb.upf
U 238.03 U.upf
Pu 244.00 Pu.upf
CELL_PARAMETERS angstrom
5.268 0.000 0.000
2.634 4.562 0.000
2.634 1.521 4.301
ATOMIC_POSITIONS angstrom
Pb 5.268 3.042 2.151
U 0.000 0.000 0.000
Pu 2.634 1.521 1.075
Pu 7.902 4.562 3.226
```

***

No. 9
Below is a relaxed structure of Pu2UPb, with properties calculated at the PBE level. Values from VASP.

Output
The energy above the most stable polymorph in this dataset is 134 meV/atom.

The structure in Quantum ESPRESSO input format:
```
&SYSTEM
  ibrav = 0, nat = 4, ntyp = 3
/
ATOMIC_SPECIES
Pb 207.20 Pb.upf
U 238.03 U.upf
Pu 244.00 Pu.upf
CELL_PARAMETERS angstrom
3.724 0.000 0.000
1.862 3.225 0.000
1.862 1.075 7.903
ATOMIC_POSITIONS angstrom
Pb 3.724 2.150 3.952
U 0.000 0.000 0.000
Pu 1.862 1.075 1.454
Pu 5.586 3.225 6.449
```

***

No. 10
Below is a relaxed structure of Pu2UPb, with properties calculated at the PBE level. Values from VASP.

Output
The energy above the most stable polymorph in this dataset is 0 meV/atom.

The structure in Quantum ESPRESSO input format:
```
&SYSTEM
  ibrav = 0, nat = 4, ntyp = 3
/
ATOMIC_SPECIES
Pb 207.20 Pb.upf
U 238.03 U.upf
Pu 244.00 Pu.upf
CELL_PARAMETERS angstrom
4.720 0.000 0.000
0.000 4.711 0.000
0.000 0.000 4.711
ATOMIC_POSITIONS angstrom
Pb 2.360 2.356 2.356
U 2.360 0.000 0.000
Pu 0.000 0.000 2.356
Pu 0.000 2.356 0.000
```

***

No. 11
Below is a relaxed structure of PuVPb, with properties calculated at the PBE level. Values from VASP.

The structure in Quantum ESPRESSO input format:
```
&SYSTEM
  ibrav = 0, nat = 12, ntyp = 3
/
ATOMIC_SPECIES
Pu 244.00 Pu.upf
Pb 207.20 Pb.upf
V 50.94 V.upf
CELL_PARAMETERS angstrom
6.460 0.000 0.000
0.000 7.409 0.858
0.000 4.466 6.113
ATOMIC_POSITIONS angstrom
Pu 5.781 9.813 6.692
Pu 2.551 7.999 3.764
Pu 0.679 2.062 0.279
Pu 3.909 3.876 3.206
Pb 5.716 8.160 3.912
Pb 2.486 9.652 6.544
Pb 0.744 3.715 3.059
Pb 3.974 2.222 0.427
V 4.476 6.794 1.674
V 1.246 6.553 2.669
V 1.984 5.081 5.297
V 5.214 5.322 4.301
```

***

No. 12
Below is a relaxed structure of YPuPb, with properties calculated at the PBE level. Values from VASP.

Output
The energy above the most stable polymorph in this dataset is 207 meV/atom.

The structure in Quantum ESPRESSO input format:
```
&SYSTEM
  ibrav = 0, nat = 3, ntyp = 3
/
ATOMIC_SPECIES
Pb 207.20 Pb.upf
Y 88.91 Y.upf
Pu 244.00 Pu.upf
CELL_PARAMETERS angstrom
-3.873 0.554 -1.177
-1.013 -3.603 1.638
1.408 3.866 4.279
ATOMIC_POSITIONS angstrom
Pb -2.695 -0.955 1.328
Y -0.559 1.265 2.436
Pu -3.392 0.620 4.363
```

***

No. 13
Below is a relaxed structure of YPu2Pb, with properties calculated at the PBE level. Values from VASP.

The structure in Quantum ESPRESSO input format:
```
&SYSTEM
  ibrav = 0, nat = 4, ntyp = 3
/
ATOMIC_SPECIES
Pb 207.20 Pb.upf
Y 88.91 Y.upf
Pu 244.00 Pu.upf
CELL_PARAMETERS angstrom
-3.499 2.929 2.575
-2.476 0.420 -3.843
-2.355 -3.784 1.104
ATOMIC_POSITIONS angstrom
Pb -4.165 -0.217 -0.082
Y -1.750 1.464 1.287
Pu -1.177 -1.892 0.552
Pu -1.238 0.210 -1.922
```

***

No. 14
Below is a relaxed structure of YPuPb, with properties calculated at the PBE level. Values from VASP.

Output
The energy above the most stable polymorph in this dataset is 232 meV/atom.

The structure in Quantum ESPRESSO input format:
```
&SYSTEM
  ibrav = 0, nat = 3, ntyp = 3
/
ATOMIC_SPECIES
Pb 207.20 Pb.upf
Y 88.91 Y.upf
Pu 244.00 Pu.upf
CELL_PARAMETERS angstrom
-2.189 -2.504 1.239
4.181 -2.651 2.029
-2.529 3.673 2.956
ATOMIC_POSITIONS angstrom
Pb -2.120 -2.425 1.200
Y -1.892 -0.265 3.552
Pu 1.286 -1.296 2.711
```

***

| no. | ρ (Mg/m³) | energy of formation from the pure elements (meV per atom) |
| --- | --- | --- |
| 1 | 11.92 | -172 |
| 2 | 12.07 | -307 |
| 3 | 13.11 | -125 |
| 4 | 11.94 | -68 |
| 5 | 11.13 | -187 |
| 6 | 15.11 | 250 |
| 7 | 15.55 | 182 |
| 8 | 14.99 | 269 |
| 9 | 16.32 | 269 |
| 10 | 14.79 | 135 |
| 11 | 12.45 | 274 |
| 12 | 10.36 | -111 |
| 13 | 11.79 | -169 |
| 14 | 10.20 | -86 |